Here is a crystal of Cs3GaCl6 relaxed with PBEsol from Alexandria. Energies are from meta-GGA SCAN.

The size of the total moment comes out at 0.0 μB/f.u. As for the density of states at the Fermi level: 0.00 states/eV/f.u.

Cell: 7.8199 7.8199 7.8199 Å, 60.00 60.00 60.00°
Closest atoms and distances in Å follow each position.
Fractional positions:
Cs 0.0000 0.0000 0.0000  6 Cl 3.17
Cs 0.2500 0.2500 0.2500  12 Cl 3.93
Cs 0.7500 0.7500 0.7500  12 Cl 3.93
Ga 0.5000 0.5000 0.5000  6 Cl 2.36
Cl 0.2863 0.2863 0.7137  1 Ga 2.36
Cl 0.2863 0.7137 0.2863  1 Ga 2.36
Cl 0.2863 0.7137 0.7137  1 Ga 2.36
Cl 0.7137 0.2863 0.2863  1 Ga 2.36
Cl 0.7137 0.2863 0.7137  1 Ga 2.36
Cl 0.7137 0.7137 0.2863  1 Ga 2.36


Here is a crystal of HoB4W relaxed with PBEsol from Alexandria. Energies are from meta-GGA SCAN.

The size of the total moment comes out at 0.0 μB/f.u. The energy of formation from the pure elements is -635.7 meV per atom.

Cell: 5.9882 11.5755 3.5790 Å, 90.00 90.00 90.00°
Closest atoms and distances in Å follow each position.
Fractional positions:
Ho 0.1271 0.1496 0.0000  14 B 2.64-2.80
Ho 0.3729 0.6496 0.0000  14 B 2.64-2.80
Ho 0.6271 0.3504 0.0000  14 B 2.64-2.80
Ho 0.8729 0.8504 0.0000  14 B 2.64-2.80
B 0.0228 0.6938 0.5000  3 B 1.78-1.86
B 0.1142 0.5476 0.5000  3 B 1.76-1.78
B 0.1331 0.9677 0.5000  3 B 1.76-1.85
B 0.2123 0.8134 0.5000  3 B 1.79-1.86
B 0.2877 0.3134 0.5000  3 B 1.79-1.86
B 0.3669 0.4677 0.5000  3 B 1.76-1.85
B 0.3858 0.0476 0.5000  3 B 1.76-1.78
B 0.4772 0.1938 0.5000  3 B 1.78-1.86
B 0.5228 0.8062 0.5000  3 B 1.78-1.86
B 0.6142 0.9524 0.5000  3 B 1.76-1.78
B 0.6331 0.5323 0.5000  3 B 1.76-1.85
B 0.7123 0.6866 0.5000  3 B 1.79-1.86
B 0.7877 0.1866 0.5000  3 B 1.79-1.86
B 0.8669 0.0323 0.5000  3 B 1.76-1.85
B 0.8858 0.4524 0.5000  3 B 1.76-1.78
B 0.9772 0.3062 0.5000  3 B 1.78-1.86
W 0.1311 0.4154 0.0000  10 B 2.34-2.38, 1 W 2.51
W 0.3689 0.9154 0.0000  10 B 2.34-2.38, 1 W 2.51
W 0.6311 0.0846 0.0000  10 B 2.34-2.38, 1 W 2.51
W 0.8689 0.5846 0.0000  10 B 2.34-2.38, 1 W 2.51


Here is a crystal of Na3Ge3Mo2O12 relaxed with PBEsol from Alexandria. Energies are from meta-GGA SCAN.

The size of the total moment comes out at 3.0 μB/f.u. As for the density of states at the Fermi level: 5.25 states/eV/f.u.

Cell: 10.7331 10.7331 10.7331 Å, 109.47 109.47 109.47°
Closest atoms and distances in Å follow each position.
Fractional positions:
Na 0.1250 0.2500 0.3750  8 O 2.42-2.58
Na 0.1250 0.3750 0.7500  8 O 2.42-2.58
Na 0.2500 0.3750 0.1250  8 O 2.42-2.58
Na 0.2500 0.8750 0.6250  8 O 2.42-2.58
Na 0.3750 0.1250 0.2500  8 O 2.42-2.58
Na 0.3750 0.7500 0.1250  8 O 2.42-2.58
Na 0.6250 0.2500 0.8750  8 O 2.42-2.58
Na 0.6250 0.8750 0.7500  8 O 2.42-2.58
Na 0.7500 0.1250 0.3750  8 O 2.42-2.58
Na 0.7500 0.6250 0.8750  8 O 2.42-2.58
Na 0.8750 0.6250 0.2500  8 O 2.42-2.58
Na 0.8750 0.7500 0.6250  8 O 2.42-2.58
Ge 0.1250 0.7500 0.8750  4 O 1.77
Ge 0.1250 0.8750 0.2500  4 O 1.77
Ge 0.2500 0.1250 0.8750  4 O 1.77
Ge 0.2500 0.6250 0.3750  4 O 1.77
Ge 0.3750 0.2500 0.6250  4 O 1.77
Ge 0.3750 0.6250 0.7500  4 O 1.77
Ge 0.6250 0.3750 0.2500  4 O 1.77
Ge 0.6250 0.7500 0.3750  4 O 1.77
Ge 0.7500 0.3750 0.6250  4 O 1.77
Ge 0.7500 0.8750 0.1250  4 O 1.77
Ge 0.8750 0.1250 0.7500  4 O 1.77
Ge 0.8750 0.2500 0.1250  4 O 1.77
Mo 0.0000 0.0000 0.0000  6 O 1.98
Mo 0.0000 0.0000 0.5000  6 O 1.98
Mo 0.0000 0.5000 0.0000  6 O 1.98
Mo 0.0000 0.5000 0.5000  6 O 1.98
Mo 0.5000 0.0000 0.0000  6 O 1.98
Mo 0.5000 0.0000 0.5000  6 O 1.98
Mo 0.5000 0.5000 0.0000  6 O 1.98
Mo 0.5000 0.5000 0.5000  6 O 1.98
O 0.0105 0.1948 0.1128  1 Ge 1.77, 1 Mo 1.98
O 0.0105 0.3157 0.8977  1 Ge 1.77, 1 Mo 1.98
O 0.0820 0.6948 0.6843  1 Ge 1.77, 1 Mo 1.98
O 0.0820 0.8872 0.3977  1 Ge 1.77, 1 Mo 1.98
O 0.1023 0.6128 0.4180  1 Ge 1.77, 1 Mo 1.98
O 0.1023 0.9895 0.6843  1 Ge 1.77, 1 Mo 1.98
O 0.1128 0.0105 0.1948  1 Ge 1.77, 1 Mo 1.98
O 0.1128 0.6023 0.9180  1 Ge 1.77, 1 Mo 1.98
O 0.1843 0.1948 0.5820  1 Ge 1.77, 1 Mo 1.98
O 0.1843 0.4895 0.6023  1 Ge 1.77, 1 Mo 1.98
O 0.1948 0.1128 0.0105  1 Ge 1.77, 1 Mo 1.98
O 0.1948 0.5820 0.1843  1 Ge 1.77, 1 Mo 1.98
O 0.3052 0.3157 0.9180  1 Ge 1.77, 1 Mo 1.98
O 0.3052 0.4895 0.3872  1 Ge 1.77, 1 Mo 1.98
O 0.3157 0.8977 0.0105  1 Ge 1.77, 1 Mo 1.98
O 0.3157 0.9180 0.3052  1 Ge 1.77, 1 Mo 1.98
O 0.3872 0.3052 0.4895  1 Ge 1.77, 1 Mo 1.98
O 0.3872 0.5820 0.8977  1 Ge 1.77, 1 Mo 1.98
O 0.3977 0.0820 0.8872  1 Ge 1.77, 1 Mo 1.98
O 0.3977 0.8157 0.5105  1 Ge 1.77, 1 Mo 1.98
O 0.4180 0.1023 0.6128  1 Ge 1.77, 1 Mo 1.98
O 0.4180 0.8157 0.8052  1 Ge 1.77, 1 Mo 1.98
O 0.4895 0.3872 0.3052  1 Ge 1.77, 1 Mo 1.98
O 0.4895 0.6023 0.1843  1 Ge 1.77, 1 Mo 1.98
O 0.5105 0.3977 0.8157  1 Ge 1.77, 1 Mo 1.98
O 0.5105 0.6128 0.6948  1 Ge 1.77, 1 Mo 1.98
O 0.5820 0.1843 0.1948  1 Ge 1.77, 1 Mo 1.98
O 0.5820 0.8977 0.3872  1 Ge 1.77, 1 Mo 1.98
O 0.6023 0.1843 0.4895  1 Ge 1.77, 1 Mo 1.98
O 0.6023 0.9180 0.1128  1 Ge 1.77, 1 Mo 1.98
O 0.6128 0.4180 0.1023  1 Ge 1.77, 1 Mo 1.98
O 0.6128 0.6948 0.5105  1 Ge 1.77, 1 Mo 1.98
O 0.6843 0.0820 0.6948  1 Ge 1.77, 1 Mo 1.98
O 0.6843 0.1023 0.9895  1 Ge 1.77, 1 Mo 1.98
O 0.6948 0.5105 0.6128  1 Ge 1.77, 1 Mo 1.98
O 0.6948 0.6843 0.0820  1 Ge 1.77, 1 Mo 1.98
O 0.8052 0.4180 0.8157  1 Ge 1.77, 1 Mo 1.98
O 0.8052 0.8872 0.9895  1 Ge 1.77, 1 Mo 1.98
O 0.8157 0.5105 0.3977  1 Ge 1.77, 1 Mo 1.98
O 0.8157 0.8052 0.4180  1 Ge 1.77, 1 Mo 1.98
O 0.8872 0.3977 0.0820  1 Ge 1.77, 1 Mo 1.98
O 0.8872 0.9895 0.8052  1 Ge 1.77, 1 Mo 1.98
O 0.8977 0.0105 0.3157  1 Ge 1.77, 1 Mo 1.98
O 0.8977 0.3872 0.5820  1 Ge 1.77, 1 Mo 1.98
O 0.9180 0.1128 0.6023  1 Ge 1.77, 1 Mo 1.98
O 0.9180 0.3052 0.3157  1 Ge 1.77, 1 Mo 1.98
O 0.9895 0.6843 0.1023  1 Ge 1.77, 1 Mo 1.98
O 0.9895 0.8052 0.8872  1 Ge 1.77, 1 Mo 1.98


Here is a crystal of NaGaSeN2 relaxed with PBEsol from Alexandria. Energies are from meta-GGA SCAN.

The size of the total moment comes out at 5.4 μB/f.u. As for the density of states at the Fermi level: 2.34 states/eV/f.u.

Cell: 4.2986 4.2986 5.4590 Å, 90.00 90.00 90.00°
Closest atoms and distances in Å follow each position.
Fractional positions:
Na 0.0000 0.0000 0.0000  4 N 2.15
Ga 0.5000 0.5000 0.5000  4 Se 3.04
Se 0.0000 0.0000 0.5000  2 Na 2.73, 4 Ga 3.04
N 0.0000 0.5000 0.0000  2 Na 2.15
N 0.5000 0.0000 0.0000  2 Na 2.15


| no. | total energy (eV/atom) |
| --- | --- |
| 1 | -19.59 |
| 2 | -25.37 |
| 3 | -12.68 |
| 4 | -10.27 |